<1>
{"formula": "SrLi3Tl2", "functional": "PBE", "state": "optimized geometry", "magmom_total_mub_per_fu": 0.0, "lattice_angstrom": [[10.843, 0.000, 0.000], [-5.421, 9.390, 0.000], [0.000, 0.000, 4.571]], "species": ["Sr", "Sr", "Sr", "Li", "Li", "Li", "Li", "Li", "Li", "Li", "Li", "Li", "Tl", "Tl", "Tl", "Tl", "Tl", "Tl"], "fractional_positions": [[0.000, 0.000, 0.000], [0.333, 0.667, 0.500], [0.667, 0.333, 0.500], [0.000, 0.289, 0.500], [0.000, 0.500, 0.000], [0.000, 0.711, 0.500], [0.289, 0.000, 0.500], [0.289, 0.289, 0.500], [0.500, 0.000, 0.000], [0.500, 0.500, 0.000], [0.711, 0.000, 0.500], [0.711, 0.711, 0.500], [0.190, 0.380, 0.000], [0.190, 0.810, 0.000], [0.380, 0.190, 0.000], [0.620, 0.810, 0.000], [0.810, 0.190, 0.000], [0.810, 0.620, 0.000]]}



<2>
{"formula": "SrLi3Tl2", "functional": "PBE", "state": "optimized geometry", "magmom_total_mub_per_fu": 0.0, "lattice_angstrom": [[4.841, 0.000, 0.000], [-2.421, 4.193, 0.000], [0.000, 0.000, 14.954]], "species": ["Sr", "Sr", "Li", "Li", "Li", "Li", "Li", "Li", "Tl", "Tl", "Tl", "Tl"], "fractional_positions": [[0.000, 0.000, 0.250], [0.000, 0.000, 0.750], [0.000, 0.000, 0.000], [0.000, 0.000, 0.500], [0.333, 0.667, 0.085], [0.333, 0.667, 0.415], [0.667, 0.333, 0.585], [0.667, 0.333, 0.915], [0.333, 0.667, 0.600], [0.333, 0.667, 0.900], [0.667, 0.333, 0.100], [0.667, 0.333, 0.400]]}



Pick <1>: it beats the second-best structure by 5 meV/atom.



<1>
{"formula": "Sr6LiTl2", "functional": "PBE", "state": "optimized geometry", "magmom_total_mub_per_fu": 0.0, "lattice_angstrom": [[11.069, 0.000, 0.000], [0.000, 11.069, 0.000], [0.000, 0.000, 5.856]], "species": ["Sr", "Sr", "Sr", "Sr", "Sr", "Sr", "Sr", "Sr", "Sr", "Sr", "Sr", "Sr", "Li", "Li", "Tl", "Tl", "Tl", "Tl"], "fractional_positions": [[0.029, 0.306, 0.000], [0.120, 0.880, 0.500], [0.194, 0.529, 0.500], [0.306, 0.029, 0.000], [0.380, 0.380, 0.000], [0.471, 0.806, 0.500], [0.529, 0.194, 0.500], [0.620, 0.620, 0.000], [0.694, 0.971, 0.000], [0.806, 0.471, 0.500], [0.880, 0.120, 0.500], [0.971, 0.694, 0.000], [0.000, 0.000, 0.000], [0.500, 0.500, 0.500], [0.204, 0.204, 0.500], [0.296, 0.704, 0.000], [0.704, 0.296, 0.000], [0.796, 0.796, 0.500]]}



<2>
{"formula": "Sr6LiTl2", "functional": "PBE", "state": "optimized geometry", "magmom_total_mub_per_fu": 0.0, "lattice_angstrom": [[5.265, -3.032, 0.000], [5.265, 3.032, 0.000], [-0.014, 0.000, 11.180]], "species": ["Sr", "Sr", "Sr", "Sr", "Sr", "Sr", "Li", "Tl", "Tl"], "fractional_positions": [[0.000, 0.000, 0.205], [0.000, 0.000, 0.795], [0.333, 0.333, 0.591], [0.333, 0.333, 0.955], [0.667, 0.667, 0.045], [0.667, 0.667, 0.409], [0.000, 0.000, 0.500], [0.332, 0.332, 0.269], [0.668, 0.668, 0.731]]}



Pick <1>: it beats the second-best structure by 18 meV/atom.



<1>
{"formula": "SrLi2Tm", "functional": "PBE", "state": "optimized geometry", "magmom_total_mub_per_fu": 0.0, "lattice_angstrom": [[3.865, 0.000, 0.000], [0.000, 3.865, 0.000], [0.000, 0.000, 8.052]], "species": ["Sr", "Li", "Li", "Tm"], "fractional_positions": [[0.000, 0.000, 0.000], [0.500, 0.500, 0.284], [0.500, 0.500, 0.716], [0.000, 0.000, 0.500]]}



<2>
{"formula": "SrLi2Tm", "functional": "PBE", "state": "optimized geometry", "magmom_total_mub_per_fu": 0.0, "lattice_angstrom": [[0.000, 3.922, 3.922], [3.922, 0.000, 3.922], [3.922, 3.922, 0.000]], "species": ["Sr", "Li", "Li", "Tm"], "fractional_positions": [[0.000, 0.000, 0.000], [0.250, 0.250, 0.250], [0.750, 0.750, 0.750], [0.500, 0.500, 0.500]]}



Pick <1>: it beats the second-best structure by 47 meV/atom.



<1>
{"formula": "SrLi3V", "functional": "PBE", "state": "optimized geometry", "magmom_total_mub_per_fu": 3.6, "lattice_angstrom": [[5.242, 0.000, 0.000], [0.000, 5.242, 0.000], [0.000, 0.000, 5.242]], "species": ["Sr", "Li", "Li", "Li", "V"], "fractional_positions": [[0.000, 0.000, 0.000], [0.000, 0.000, 0.500], [0.000, 0.500, 0.000], [0.500, 0.000, 0.000], [0.500, 0.500, 0.500]]}



<2>
{"formula": "SrLi3V", "functional": "PBE", "state": "optimized geometry", "magmom_total_mub_per_fu": 5.3, "lattice_angstrom": [[5.198, 0.000, 0.000], [0.000, 5.198, 0.000], [0.000, 0.000, 5.198]], "species": ["Sr", "Li", "Li", "Li", "V"], "fractional_positions": [[0.000, 0.000, 0.000], [0.000, 0.500, 0.500], [0.500, 0.000, 0.500], [0.500, 0.500, 0.000], [0.500, 0.500, 0.500]]}



Pick <2>: it beats the second-best structure by 751 meV/atom.



<1>
{"formula": "SrLiV3", "functional": "PBE", "state": "optimized geometry", "magmom_total_mub_per_fu": 11.8, "lattice_angstrom": [[4.883, 0.000, 0.000], [0.000, 4.883, 0.000], [0.000, 0.000, 4.883]], "species": ["Sr", "Li", "V", "V", "V"], "fractional_positions": [[0.000, 0.000, 0.000], [0.500, 0.500, 0.500], [0.000, 0.500, 0.500], [0.500, 0.000, 0.500], [0.500, 0.500, 0.000]]}



<2>
{"formula": "SrLiV3", "functional": "PBE", "state": "optimized geometry", "magmom_total_mub_per_fu": 0.0, "lattice_angstrom": [[4.610, 0.000, 0.000], [0.000, 4.610, 0.000], [0.000, 0.000, 4.610]], "species": ["Sr", "Li", "V", "V", "V"], "fractional_positions": [[0.000, 0.000, 0.000], [0.500, 0.500, 0.500], [0.000, 0.000, 0.500], [0.000, 0.500, 0.000], [0.500, 0.000, 0.000]]}



Pick <1>: it beats the second-best structure by 1083 meV/atom.



<1>
{"formula": "Sr3LiW", "functional": "PBE", "state": "optimized geometry", "magmom_total_mub_per_fu": 0.0, "lattice_angstrom": [[5.620, 0.000, 0.000], [0.000, 5.620, 0.000], [0.000, 0.000, 5.620]], "species": ["Sr", "Sr", "Sr", "Li", "W"], "fractional_positions": [[0.000, 0.000, 0.500], [0.000, 0.500, 0.000], [0.500, 0.000, 0.000], [0.000, 0.000, 0.000], [0.500, 0.500, 0.500]]}



<2>
{"formula": "Sr3LiW", "functional": "PBE", "state": "optimized geometry", "magmom_total_mub_per_fu": 0.0, "lattice_angstrom": [[5.937, 0.000, 0.000], [0.000, 5.937, 0.000], [0.000, 0.000, 5.937]], "species": ["Sr", "Sr", "Sr", "Li", "W"], "fractional_positions": [[0.000, 0.000, 0.500], [0.000, 0.500, 0.000], [0.500, 0.000, 0.000], [0.500, 0.500, 0.500], [0.000, 0.000, 0.000]]}



Pick <2>: it beats the second-best structure by 538 meV/atom.



<1>
{"formula": "SrLi3W", "functional": "PBE", "state": "optimized geometry", "magmom_total_mub_per_fu": 4.1, "lattice_angstrom": [[5.183, 0.000, 0.000], [0.000, 5.183, 0.000], [0.000, 0.000, 5.183]], "species": ["Sr", "Li", "Li", "Li", "W"], "fractional_positions": [[0.000, 0.000, 0.000], [0.000, 0.500, 0.500], [0.500, 0.000, 0.500], [0.500, 0.500, 0.000], [0.500, 0.500, 0.500]]}



<2>
{"formula": "SrLi3W", "functional": "PBE", "state": "optimized geometry", "magmom_total_mub_per_fu": 0.9, "lattice_angstrom": [[4.579, 0.000, 0.000], [0.000, 4.579, 0.000], [0.000, 0.000, 4.579]], "species": ["Sr", "Li", "Li", "Li", "W"], "fractional_positions": [[0.000, 0.000, 0.000], [0.000, 0.000, 0.500], [0.000, 0.500, 0.000], [0.500, 0.000, 0.000], [0.500, 0.500, 0.500]]}



Pick <1>: it beats the second-best structure by 757 meV/atom.



<1>
{"formula": "SrLiW3", "functional": "PBE", "state": "optimized geometry", "magmom_total_mub_per_fu": 0.0, "lattice_angstrom": [[4.542, 0.000, 0.000], [0.000, 4.542, 0.000], [0.000, 0.000, 4.542]], "species": ["Sr", "Li", "W", "W", "W"], "fractional_positions": [[0.000, 0.000, 0.000], [0.500, 0.500, 0.500], [0.000, 0.500, 0.500], [0.500, 0.000, 0.500], [0.500, 0.500, 0.000]]}



<2>
{"formula": "SrLiW3", "functional": "PBE", "state": "optimized geometry", "magmom_total_mub_per_fu": 0.0, "lattice_angstrom": [[4.847, 0.000, 0.000], [0.000, 4.847, 0.000], [0.000, 0.000, 4.847]], "species": ["Sr", "Li", "W", "W", "W"], "fractional_positions": [[0.000, 0.000, 0.000], [0.500, 0.500, 0.500], [0.000, 0.000, 0.500], [0.000, 0.500, 0.000], [0.500, 0.000, 0.000]]}



Pick <1>: it beats the second-best structure by 1602 meV/atom.



<1>
{"formula": "SrLi2Y", "functional": "PBE", "state": "optimized geometry", "magmom_total_mub_per_fu": 0.1, "lattice_angstrom": [[3.802, 0.000, 0.000], [0.000, 3.802, 0.000], [0.000, 0.000, 8.514]], "species": ["Sr", "Li", "Li", "Y"], "fractional_positions": [[0.000, 0.000, 0.000], [0.000, 0.000, 0.567], [0.500, 0.500, 0.713], [0.500, 0.500, 0.335]]}



<2>
{"formula": "SrLi2Y", "functional": "PBE", "state": "optimized geometry", "magmom_total_mub_per_fu": 0.0, "lattice_angstrom": [[5.485, -1.763, 0.000], [5.485, 1.763, 0.000], [-0.793, 0.000, 6.830]], "species": ["Sr", "Li", "Li", "Y"], "fractional_positions": [[0.000, 0.000, 0.000], [0.244, 0.244, 0.699], [0.756, 0.756, 0.301], [0.500, 0.500, 0.500]]}



Pick <1>: it beats the second-best structure by 122 meV/atom.



<1>
{"formula": "SrLiY3", "functional": "PBE", "state": "optimized geometry", "magmom_total_mub_per_fu": 0.0, "lattice_angstrom": [[5.594, 0.000, 0.000], [0.000, 5.594, 0.000], [0.000, 0.000, 5.594]], "species": ["Sr", "Li", "Y", "Y", "Y"], "fractional_positions": [[0.000, 0.000, 0.000], [0.500, 0.500, 0.500], [0.000, 0.500, 0.500], [0.500, 0.000, 0.500], [0.500, 0.500, 0.000]]}



<2>
{"formula": "SrLiY3", "functional": "PBE", "state": "optimized geometry", "magmom_total_mub_per_fu": 0.0, "lattice_angstrom": [[5.782, 0.000, 0.000], [0.000, 5.782, 0.000], [0.000, 0.000, 5.782]], "species": ["Sr", "Li", "Y", "Y", "Y"], "fractional_positions": [[0.000, 0.000, 0.000], [0.500, 0.500, 0.500], [0.000, 0.000, 0.500], [0.000, 0.500, 0.000], [0.500, 0.000, 0.000]]}



Pick <1>: it beats the second-best structure by 713 meV/atom.



<1>
{"formula": "SrLi3Zn2", "functional": "PBE", "state": "optimized geometry", "magmom_total_mub_per_fu": 0.0, "lattice_angstrom": [[7.884, -2.268, 0.000], [7.884, 2.268, 0.000], [-3.700, 0.000, 7.613]], "species": ["Sr", "Sr", "Li", "Li", "Li", "Li", "Li", "Li", "Zn", "Zn", "Zn", "Zn"], "fractional_positions": [[0.153, 0.153, 0.066], [0.847, 0.847, 0.934], [0.038, 0.038, 0.365], [0.314, 0.314, 0.542], [0.416, 0.416, 0.337], [0.584, 0.584, 0.663], [0.686, 0.686, 0.458], [0.962, 0.962, 0.635], [0.183, 0.183, 0.681], [0.478, 0.478, 0.836], [0.522, 0.522, 0.164], [0.817, 0.817, 0.319]]}



<2>
{"formula": "SrLi3Zn2", "functional": "PBE", "state": "optimized geometry", "magmom_total_mub_per_fu": 0.0, "lattice_angstrom": [[10.035, 0.000, 0.000], [-5.017, 8.690, 0.000], [0.000, 0.000, 4.599]], "species": ["Sr", "Sr", "Sr", "Li", "Li", "Li", "Li", "Li", "Li", "Li", "Li", "Li", "Zn", "Zn", "Zn", "Zn", "Zn", "Zn"], "fractional_positions": [[0.000, 0.000, 0.000], [0.333, 0.667, 0.500], [0.667, 0.333, 0.500], [0.000, 0.295, 0.500], [0.000, 0.500, 0.000], [0.000, 0.705, 0.500], [0.295, 0.000, 0.500], [0.295, 0.295, 0.500], [0.500, 0.000, 0.000], [0.500, 0.500, 0.000], [0.705, 0.000, 0.500], [0.705, 0.705, 0.500], [0.185, 0.369, 0.000], [0.185, 0.815, 0.000], [0.369, 0.185, 0.000], [0.631, 0.815, 0.000], [0.815, 0.185, 0.000], [0.815, 0.631, 0.000]]}



Pick <2>: it beats the second-best structure by 12 meV/atom.



<1>
{"formula": "SrLi2Zn2", "functional": "PBE", "state": "optimized geometry", "magmom_total_mub_per_fu": 0.0, "lattice_angstrom": [[-2.110, 2.253, 12.280], [2.110, -2.253, 12.280], [2.110, 2.253, -12.280]], "species": ["Sr", "Sr", "Li", "Li", "Li", "Li", "Zn", "Zn", "Zn", "Zn"], "fractional_positions": [[0.332, 0.082, 0.250], [0.668, 0.918, 0.750], [0.042, 0.792, 0.250], [0.454, 0.704, 0.750], [0.546, 0.296, 0.250], [0.958, 0.208, 0.750], [0.113, 0.363, 0.750], [0.223, 0.473, 0.750], [0.777, 0.527, 0.250], [0.887, 0.637, 0.250]]}



<2>
{"formula": "SrLi2Zn2", "functional": "PBE", "state": "optimized geometry", "magmom_total_mub_per_fu": 0.0, "lattice_angstrom": [[-2.190, 2.190, 6.128], [2.190, -2.190, 6.128], [2.190, 2.190, -6.128]], "species": ["Sr", "Li", "Li", "Zn", "Zn"], "fractional_positions": [[0.000, 0.000, 0.000], [0.250, 0.750, 0.500], [0.750, 0.250, 0.500], [0.393, 0.393, 0.000], [0.607, 0.607, 0.000]]}



<3>
{"formula": "SrLi2Zn2", "functional": "PBE", "state": "optimized geometry", "magmom_total_mub_per_fu": 0.0, "lattice_angstrom": [[-4.080, 7.541, 1.888], [4.080, -7.541, 1.888], [4.080, 7.541, -1.888]], "species": ["Sr", "Sr", "Li", "Li", "Li", "Li", "Zn", "Zn", "Zn", "Zn"], "fractional_positions": [[0.490, 0.240, 0.250], [0.510, 0.760, 0.750], [0.320, 0.000, 0.820], [0.320, 0.500, 0.320], [0.680, 0.000, 0.180], [0.680, 0.500, 0.680], [0.188, 0.749, 0.439], [0.190, 0.251, 0.939], [0.810, 0.749, 0.061], [0.812, 0.251, 0.561]]}



Pick <1>: it beats the second-best structure by 15 meV/atom.